[1]
{"formula": "DyFeReSi3", "functional": "PBE", "state": "optimized geometry", "total_energy_ev_per_atom": -7.19, "dos_ef_per_ev_atom": 0.15, "e_form_raw_ev_per_atom": -0.23, "lattice_angstrom": [[-2.3940, -1.1505, 5.6610], [5.4801, 0.3678, 2.3922], [-3.4743, 5.3980, -0.3722]], "species": ["Dy", "Dy", "Fe", "Fe", "Re", "Re", "Si", "Si", "Si", "Si", "Si", "Si"], "frac_coords": [[0.7500, 0.2754, 0.5508], [0.2500, 0.7246, 0.4492], [0.2500, 0.3988, 0.7976], [0.7500, 0.6012, 0.2024], [0.2500, 0.0182, 0.0363], [0.7500, 0.9818, 0.9637], [0.2500, 0.2148, 0.4296], [0.0000, 0.3044, 0.0000], [0.5000, 0.6956, 0.0000], [0.5000, 0.3044, 0.0000], [0.0000, 0.6956, 0.0000], [0.7500, 0.7852, 0.5704]]}


[2]
{"formula": "DyFe4Rh", "functional": "PBE", "state": "optimized geometry", "total_energy_ev_per_atom": -7.72, "dos_ef_per_ev_atom": 0.81, "ef_mev_per_atom": -82, "lattice_angstrom": [[-0.5770, 1.3531, -4.7572], [0.4517, -3.3852, -3.6237], [-4.0193, -1.4800, -2.5395]], "species": ["Rh", "Fe", "Fe", "Fe", "Fe", "Dy"], "frac_coords": [[0.2500, 0.2500, 0.2500], [0.6246, 0.6246, 0.1261], [0.6246, 0.1261, 0.6246], [0.6246, 0.6246, 0.6246], [0.1261, 0.6246, 0.6246], [0.0000, 0.0000, 0.0000]]}


[3]
{"formula": "Dy2FeRh", "functional": "PBE", "state": "optimized geometry", "total_energy_ev_per_atom": -6.59, "dos_ef_per_ev_atom": 1.51, "relative_energy_ev_per_atom": 0.000, "ef_mev_per_atom": -331, "lattice_angstrom": [[-1.7986, 2.8410, -0.2345], [-4.1015, -2.5853, 0.1375], [-0.0639, 0.3587, 4.8366]], "species": ["Rh", "Fe", "Dy", "Dy"], "frac_coords": [[0.5000, 0.5000, 0.5000], [0.5000, 0.0000, 0.0000], [0.0000, 0.0000, 0.5000], [0.0000, 0.5000, 0.0000]]}


[4]
{"formula": "Dy6Fe2Rh", "functional": "PBE", "state": "optimized geometry", "total_energy_ev_per_atom": -5.97, "dos_ef_per_ev_atom": 1.04, "ef_mev_per_atom": -200, "lattice_angstrom": [[-5.5226, 5.4601, -2.6433], [-2.4200, -7.4100, -2.5561], [0.5553, -0.0031, 8.1847]], "species": ["Dy", "Dy", "Dy", "Dy", "Dy", "Dy", "Dy", "Dy", "Dy", "Dy", "Dy", "Dy", "Fe", "Fe", "Fe", "Fe", "Rh", "Rh"], "frac_coords": [[0.5630, 0.7421, 0.8209], [0.4370, 0.2579, 0.1791], [0.0789, 0.2579, 0.8209], [0.9211, 0.7421, 0.1791], [0.8085, 0.7415, 0.5500], [0.1915, 0.2585, 0.4500], [0.1915, 0.7415, 0.9329], [0.8085, 0.2585, 0.0671], [0.6975, 0.3790, 0.6815], [0.3025, 0.6210, 0.3185], [0.3025, 0.9841, 0.6815], [0.6975, 0.0159, 0.3185], [0.5000, 0.3898, 0.8898], [0.5000, 0.6102, 0.1102], [0.6247, 0.0000, 0.6247], [0.3753, 0.0000, 0.3753], [0.0000, 0.5000, 0.5000], [0.0000, 0.0000, 0.0000]]}


[5]
{"formula": "DyZrFeRh", "functional": "PBE", "state": "optimized geometry", "total_energy_ev_per_atom": -7.61, "dos_ef_per_ev_atom": 0.73, "ef_mev_per_atom": -366, "lattice_angstrom": [[-1.4967, 2.3094, -3.7826], [0.5613, -1.8649, -4.2531], [-3.7132, -1.5627, -2.3773]], "species": ["Rh", "Fe", "Zr", "Dy"], "frac_coords": [[0.0000, 0.0000, 0.0000], [0.5000, 0.5000, 0.5000], [0.7500, 0.7500, 0.7500], [0.2500, 0.2500, 0.2500]]}


[6]
{"formula": "Dy2FeRu3", "functional": "PBE", "state": "optimized geometry", "total_energy_ev_per_atom": -7.85, "dos_ef_per_ev_atom": 0.85, "ef_mev_per_atom": -269, "lattice_angstrom": [[-3.4005, 2.5962, 3.1949], [-1.2132, -0.7472, -5.1460], [-3.7802, -7.3637, 1.9604]], "species": ["Dy", "Dy", "Dy", "Dy", "Fe", "Fe", "Ru", "Ru", "Ru", "Ru", "Ru", "Ru"], "frac_coords": [[0.6667, 0.3333, 0.4335], [0.3333, 0.6667, 0.5665], [0.3333, 0.6667, 0.9335], [0.6667, 0.3333, 0.0665], [0.0000, 0.0000, 0.5000], [0.0000, 0.0000, 0.0000], [0.1697, 0.3394, 0.2500], [0.3394, 0.1697, 0.7500], [0.8303, 0.6606, 0.7500], [0.1697, 0.8303, 0.2500], [0.8303, 0.1697, 0.7500], [0.6606, 0.8303, 0.2500]]}


[7]
{"formula": "Dy2FeRu", "functional": "PBE", "state": "optimized geometry", "total_energy_ev_per_atom": -6.83, "dos_ef_per_ev_atom": 1.39, "ef_mev_per_atom": -91, "lattice_angstrom": [[3.3920, 0.0000, 0.0000], [0.0000, 3.3920, 0.0000], [0.0000, 0.0000, 6.9731]], "species": ["Ru", "Fe", "Dy", "Dy"], "frac_coords": [[0.5000, 0.5000, 0.0000], [0.5000, 0.5000, 0.5000], [0.0000, 0.0000, 0.7580], [0.0000, 0.0000, 0.2420]]}


[8]
{"formula": "DyFe4Ru", "functional": "PBE", "state": "optimized geometry", "total_energy_ev_per_atom": -7.93, "dos_ef_per_ev_atom": 0.88, "ef_mev_per_atom": 29, "lattice_angstrom": [[-3.7617, -2.5500, 2.0034], [0.4035, -4.9044, 0.6712], [0.4209, -1.8520, 4.5891]], "species": ["Ru", "Fe", "Fe", "Fe", "Fe", "Dy"], "frac_coords": [[0.2500, 0.2500, 0.2500], [0.6245, 0.6245, 0.1264], [0.6245, 0.1264, 0.6245], [0.6245, 0.6245, 0.6245], [0.1264, 0.6245, 0.6245], [0.0000, 0.0000, 0.0000]]}


[9]
{"formula": "Dy2FeRu", "functional": "PBE", "state": "optimized geometry", "total_energy_ev_per_atom": -6.24, "dos_ef_per_ev_atom": 1.04, "ef_mev_per_atom": 493, "lattice_angstrom": [[3.2788, 0.0000, 0.0000], [1.6394, 2.8395, 0.0000], [1.6394, 0.9465, 9.5095]], "species": ["Ru", "Fe", "Dy", "Dy"], "frac_coords": [[0.5000, 0.5000, 0.5000], [0.0000, 0.0000, 0.0000], [0.0946, 0.0946, 0.7161], [0.9054, 0.9054, 0.2839]]}


[10]
{"formula": "DyTaFeRu", "functional": "PBE", "state": "optimized geometry", "total_energy_ev_per_atom": -8.66, "dos_ef_per_ev_atom": 0.66, "ef_mev_per_atom": -110, "lattice_angstrom": [[-3.2349, 1.6914, 2.7370], [-4.3958, -0.8778, -0.8502], [-2.3443, -2.7833, 2.7521]], "species": ["Ru", "Dy", "Fe", "Ta"], "frac_coords": [[0.7500, 0.7500, 0.7500], [0.5000, 0.5000, 0.5000], [0.2500, 0.2500, 0.2500], [0.0000, 0.0000, 0.0000]]}


[11]
{"formula": "DyThFeRu", "functional": "PBE", "state": "optimized geometry", "total_energy_ev_per_atom": -7.58, "dos_ef_per_ev_atom": 1.09, "ef_mev_per_atom": -140, "lattice_angstrom": [[4.8954, 0.0000, 0.0000], [2.4477, 4.2395, 0.0000], [2.4477, 1.4132, 3.9971]], "species": ["Ru", "Fe", "Th", "Dy"], "frac_coords": [[0.7500, 0.7500, 0.7500], [0.2500, 0.2500, 0.2500], [0.0000, 0.0000, 0.0000], [0.5000, 0.5000, 0.5000]]}


[12]
{"formula": "Dy3Fe5S12", "functional": "PBE", "state": "optimized geometry", "total_energy_ev_per_atom": -6.17, "dos_ef_per_ev_atom": 1.04, "e_form_raw_ev_per_atom": -0.88, "lattice_angstrom": [[12.5722, 0.0000, 0.0000], [-4.1907, 11.8532, 0.0000], [-4.1907, -5.9266, 10.2652]], "species": ["S", "S", "S", "S", "S", "S", "S", "S", "S", "S", "S", "S", "S", "S", "S", "S", "S", "S", "S", "S", "S", "S", "S", "S", "S", "S", "S", "S", "S", "S", "S", "S", "S", "S", "S", "S", "S", "S", "S", "S", "S", "S", "S", "S", "S", "S", "S", "S", "Fe", "Fe", "Fe", "Fe", "Fe", "Fe", "Fe", "Fe", "Fe", "Fe", "Fe", "Fe", "Fe", "Fe", "Fe", "Fe", "Fe", "Fe", "Fe", "Fe", "Dy", "Dy", "Dy", "Dy", "Dy", "Dy", "Dy", "Dy", "Dy", "Dy", "Dy", "Dy"], "frac_coords": [[0.6997, 0.1147, 0.0252], [0.3255, 0.5252, 0.4105], [0.9748, 0.3853, 0.3003], [0.5252, 0.1997, 0.1147], [0.5850, 0.6997, 0.6745], [0.9748, 0.5895, 0.1745], [0.3255, 0.8003, 0.4150], [0.0895, 0.9150, 0.1147], [0.5895, 0.9748, 0.6745], [0.6997, 0.5850, 0.1745], [0.8003, 0.4748, 0.3853], [0.8255, 0.9105, 0.0252], [0.1147, 0.6997, 0.5252], [0.3853, 0.4105, 0.0850], [0.0850, 0.9105, 0.3853], [0.4150, 0.1147, 0.5895], [0.0850, 0.1745, 0.1997], [0.4748, 0.6745, 0.0895], [0.8255, 0.9150, 0.3003], [0.1147, 0.4150, 0.0895], [0.3853, 0.9748, 0.8003], [0.5895, 0.6147, 0.4150], [0.9105, 0.8255, 0.5252], [0.8003, 0.3255, 0.9150], [0.4105, 0.3853, 0.5850], [0.0895, 0.1745, 0.4748], [0.1997, 0.6745, 0.0850], [0.1745, 0.0850, 0.6997], [0.6147, 0.0252, 0.1997], [0.8853, 0.5850, 0.9105], [0.5252, 0.3255, 0.9105], [0.5850, 0.8853, 0.4105], [0.9150, 0.8255, 0.8003], [0.9150, 0.0895, 0.6147], [0.8853, 0.3003, 0.4748], [0.1745, 0.0895, 0.9748], [0.6147, 0.5895, 0.9150], [0.4105, 0.0252, 0.3255], [0.3003, 0.4150, 0.8255], [0.1997, 0.5252, 0.6147], [0.9105, 0.0850, 0.8853], [0.6745, 0.1997, 0.5850], [0.4748, 0.8003, 0.8853], [0.0252, 0.4105, 0.8255], [0.4150, 0.3003, 0.3255], [0.0252, 0.6147, 0.6997], [0.6745, 0.4748, 0.5895], [0.3003, 0.8853, 0.9748], [0.1250, 0.3750, 0.2500], [0.0000, 0.5000, 0.0000], [0.0000, 0.0000, 0.0000], [0.3750, 0.2500, 0.1250], [0.5000, 0.0000, 0.5000], [0.5000, 0.5000, 0.0000], [0.1250, 0.7500, 0.3750], [0.7500, 0.1250, 0.8750], [0.7500, 0.6250, 0.3750], [0.3750, 0.1250, 0.7500], [0.6250, 0.8750, 0.2500], [0.5000, 0.5000, 0.5000], [0.5000, 0.0000, 0.0000], [0.0000, 0.0000, 0.5000], [0.2500, 0.3750, 0.6250], [0.2500, 0.8750, 0.1250], [0.0000, 0.5000, 0.5000], [0.8750, 0.2500, 0.6250], [0.6250, 0.7500, 0.8750], [0.8750, 0.6250, 0.7500], [0.7500, 0.3750, 0.1250], [0.8750, 0.7500, 0.1250], [0.3750, 0.7500, 0.6250], [0.2500, 0.1250, 0.3750], [0.8750, 0.1250, 0.2500], [0.3750, 0.6250, 0.2500], [0.6250, 0.3750, 0.7500], [0.1250, 0.8750, 0.7500], [0.7500, 0.8750, 0.6250], [0.6250, 0.2500, 0.3750], [0.1250, 0.2500, 0.8750], [0.2500, 0.6250, 0.8750]]}